No. 1
VASP calculation (PBE) on a relaxed Sc3HgSe2 crystal.

```
Sc3HgSe2
1.0
2.424 -6.020 0.000
2.424 6.020 0.000
0.000 0.000 9.015
Sc Hg Se
6 2 4
Direct
0.124 0.876 0.750
0.364 0.636 0.549
0.364 0.636 0.951
0.636 0.364 0.049
0.636 0.364 0.451
0.876 0.124 0.250
0.217 0.783 0.250
0.783 0.217 0.750
0.000 0.000 0.000
0.000 0.000 0.500
0.467 0.533 0.250
0.533 0.467 0.750
```

Total energy ... -63.801 eV for the cell shown
Symmetry ... No. 63

***

No. 2
VASP calculation (PBE) on a relaxed PaTl8Se6 crystal.

```
PaTl8Se6
1.0
3.948 2.279 9.427
-3.948 2.279 9.427
0.000 -4.559 9.427
Pa Tl Se
1 8 6
Direct
0.000 0.000 0.000
0.115 0.459 0.778
0.222 0.885 0.541
0.333 0.333 0.333
0.459 0.778 0.115
0.541 0.222 0.885
0.667 0.667 0.667
0.778 0.115 0.459
0.885 0.541 0.222
0.062 0.765 0.351
0.235 0.649 0.938
0.351 0.062 0.765
0.649 0.938 0.235
0.765 0.351 0.062
0.938 0.235 0.649
```

Total energy ... -58.373 eV for the cell shown
Symmetry ... No. 148

***

No. 3
VASP calculation (PBE) on a relaxed BaRh3 crystal.

```
BaRh3
1.0
3.264 0.000 0.000
0.000 3.264 0.000
0.000 0.000 7.470
Ba Rh
1 3
Direct
0.000 0.000 0.000
0.000 0.000 0.500
0.500 0.500 0.319
0.500 0.500 0.681
```

Total energy ... -22.659 eV for the cell shown
Symmetry ... No. 123

***

No. 4
VASP calculation (PBE) on a relaxed Dy3Cd2Au crystal.

```
Dy3Cd2Au
1.0
5.211 0.000 0.000
-2.606 4.513 0.000
0.000 0.000 6.406
Dy Cd Au
3 2 1
Direct
0.000 0.000 0.000
0.333 0.667 0.649
0.667 0.333 0.351
0.333 0.667 0.145
0.667 0.333 0.855
0.000 0.000 0.500
```

Symmetry ... No. 164
Offset from the most stable computed form ... 1.5 kJ per mole of atoms